1.
TiIrAu3: optimized geometry, PBE-GGA.

The space group is Pm-3m (No. 221) and the conventional cell measures 4.804, 4.804 and 4.804 Å, with angles of 90.00, 90.00 and 90.00 degrees. The inequivalent atoms are Ti at (0.000, 0.000, 0.000), Ir at (0.500, 0.500, 0.500) and Au at (0.000, 0.000, 0.500).

The formation energy is 1418 meV/atom. As for the energy above the most stable polymorph in this dataset: 264 meV per atom. The value obtained for the total energy is -3.8993 eV per atom. As for the volume: 110.86 Å³ per cell. The value obtained for the theoretical density is 12.447 g cm⁻³. The value obtained for the density of states at the Fermi level is 1.8316 states/eV/atom.

---

2.
TiZnIrAu: optimized geometry, PBE-GGA.

The space group is F-43m (No. 216) and the conventional cell measures 6.291, 6.291 and 6.291 Å, with angles of 90.00, 90.00 and 90.00 degrees. The inequivalent atoms are Ti at (0.000, 0.000, 0.000), Zn at (0.000, 0.000, 0.500), Ir at (0.250, 0.250, 0.250) and Au at (0.250, 0.250, 0.750).

The formation energy is -391 meV/atom. As for the energy above the most stable polymorph in this dataset: 96 meV per atom. The value obtained for the total energy is -5.7183 eV per atom. As for the volume: 248.98 Å³ per cell. The value obtained for the theoretical density is 13.404 g cm⁻³. The value obtained for the density of states at the Fermi level is 0.6642 states/eV/atom.